Entry 1:
10
Lattice="-5.479 -1.136 1.544 -3.365 -3.032 -3.631 0.967 -7.390 3.102" Properties=species:S:1:pos:R:3 comment="Y2PaTc2 (GGA-PBE, relaxed)" ef_kj_per_mol_atoms=-24.2 pbc="T T T"
Y -3.197 -2.315 0.375
Y -5.688 -5.079 0.370
Y -4.681 -9.243 0.639
Y -2.190 -6.480 0.645
Pa -3.372 -4.656 -2.246
Pa -4.505 -6.902 3.261
Tc -3.561 -4.637 2.722
Tc -5.390 -9.221 3.653
Tc -4.317 -6.921 -1.707
Tc -2.488 -2.338 -2.639

Entry 2:
18
Lattice="-6.167 -1.401 6.959 -6.938 -5.133 -3.731 -3.987 -10.077 3.806" Properties=species:S:1:pos:R:3 comment="Dy5HoEr3 (GGA-PBE, relaxed)" ef_kj_per_mol_atoms=50.5 pbc="T T T"
Dy -8.661 -5.519 5.586
Dy -6.740 -4.172 -0.978
Dy -14.537 -15.020 6.293
Dy -7.350 -5.561 2.472
Dy -9.741 -11.051 4.561
Dy -2.555 -1.591 0.740
Dy -9.050 -7.399 0.203
Dy -6.365 -2.362 4.205
Dy -8.430 -11.092 1.448
Dy -8.042 -9.213 6.830
Ho -4.342 -7.004 2.759
Ho -12.750 -9.608 4.275
Er -12.317 -12.770 5.348
Er -10.076 -7.937 3.498
Er 0.000 0.000 0.000
Er -1.993 -5.039 1.903
Er -4.775 -3.841 1.686
Er -7.016 -8.675 3.535

Entry 3:
20
Lattice="6.134 0.000 0.000 0.000 6.425 0.000 0.000 0.000 13.898" Properties=species:S:1:pos:R:3 comment="AcVSb3 (GGA-PBE, relaxed)" e_above_lowest_polymorph_mev_per_atom=0 raw_formation_energy_mev_per_atom=-533 pbc="T T T"
Ac 4.601 3.207 9.616
Ac 1.534 3.217 4.283
Ac 4.601 6.420 4.283
Ac 1.534 0.005 9.616
V 3.067 1.606 1.225
V 0.000 4.818 12.673
V 3.067 4.818 12.673
V 0.000 1.606 1.225
Sb 0.000 1.606 6.937
Sb 3.067 4.818 6.961
Sb 0.000 4.818 6.961
Sb 3.067 1.606 6.937
Sb 1.534 0.643 13.039
Sb 4.601 5.781 0.859
Sb 1.534 3.856 0.859
Sb 4.601 2.569 13.039
Sb 1.534 3.215 11.053
Sb 4.601 3.210 2.845
Sb 1.534 0.002 2.845
Sb 4.601 6.422 11.053

Entry 4:
4
Lattice="-0.822 -3.509 2.026 0.086 -3.614 -2.007 8.798 -3.303 2.066" Properties=species:S:1:pos:R:3 comment="DyNbTe2 (GGA-PBE, relaxed)" raw_formation_energy_mev_per_atom=-16 pbc="T T T"
Nb 0.000 0.000 0.000
Te 6.098 -3.026 1.451
Te 1.964 -7.401 0.634
Dy 4.031 -5.213 1.043

Entry 5:
16
Lattice="6.606 0.000 -3.118 -1.472 6.440 -3.118 0.052 0.065 8.667" Properties=species:S:1:pos:R:3 comment="Tb5Co2Pd (GGA-PBE, relaxed)" ef_kj_per_mol_atoms=-34.0 pbc="T T T"
Tb 2.555 4.486 2.457
Tb 3.949 6.235 -3.146
Tb 0.000 0.000 0.000
Tb 2.567 3.220 -3.118
Tb 1.237 0.270 5.576
Tb 4.313 1.266 3.534
Tb -0.521 3.490 4.499
Tb 0.873 5.239 -1.104
Tb 5.707 3.015 -2.069
Tb 2.631 2.019 -0.027
Co 0.201 2.473 -1.559
Co 3.898 0.747 -2.282
Co 1.236 5.693 -3.954
Co 4.933 3.967 -4.678
Pd 3.877 4.863 -0.344
Pd 1.310 1.643 2.774

Entry 6:
5
Lattice="-1.944 2.571 3.833 0.468 -4.028 2.939 4.591 1.499 1.323" Properties=species:S:1:pos:R:3 comment="Li3TiGa (GGA-PBE, relaxed)" ef_kj_per_mol_atoms=97.0 e_above_lowest_polymorph_mev_per_atom=464 pbc="T T T"
Li 0.234 -2.014 1.470
Li 2.296 0.750 0.661
Li -0.972 1.285 1.916
Ga 1.558 0.021 4.047
Ti 0.000 0.000 0.000

Entry 7:
12
Lattice="-5.169 -1.203 -2.651 2.178 -8.093 -0.576 -0.575 1.527 7.066" Properties=species:S:1:pos:R:3 comment="Pr2YPd3 (GGA-PBE, relaxed)" ef_kj_per_mol_atoms=-65.1 pbc="T T T"
Pr -2.385 -5.019 0.256
Pr -3.447 -0.966 0.558
Pr -0.118 -6.802 3.281
Pr -1.180 -2.750 3.583
Y -3.502 -7.264 -3.066
Y 0.512 -2.031 -0.161
Pd -2.073 -2.632 -1.487
Pd -0.917 -6.663 -1.740
Pd -0.822 -0.347 1.796
Pd -3.805 -3.368 2.345
Pd 0.239 -4.400 1.493
Pd -2.743 -7.421 2.043

Entry 8:
4
Lattice="3.683 0.000 0.000 0.000 3.683 0.000 0.000 0.000 8.261" Properties=species:S:1:pos:R:3 comment="LaTh2Rh (GGA-PBE, relaxed)" ef_kj_per_mol_atoms=-31.2 e_above_lowest_polymorph_mev_per_atom=135 pbc="T T T"
Rh 1.841 1.841 0.000
Th 0.000 0.000 6.616
Th 0.000 0.000 1.645
La 1.841 1.841 4.130

Entry 9:
7
Lattice="5.241 -0.001 -1.463 -2.824 4.652 -0.002 -0.096 -0.056 9.775" Properties=species:S:1:pos:R:3 comment="Sr2Pr2Hg3 (GGA-PBE, relaxed)" ef_kj_per_mol_atoms=-36.7 pbc="T T T"
Sr 0.924 0.563 3.308
Sr 1.397 4.032 5.002
Pr 2.855 1.736 0.108
Pr -0.534 2.859 8.202
Hg 0.000 0.000 0.000
Hg 1.876 1.139 6.718
Hg 0.445 3.456 1.592

Entry 10:
7
Lattice="5.232 0.000 0.000 0.000 5.232 0.000 -2.616 -2.616 7.438" Properties=species:S:1:pos:R:3 comment="Pr2PaP2Se2 (GGA-PBE, relaxed)" raw_formation_energy_mev_per_atom=-1255 pbc="T T T"
Pr 0.000 0.000 5.678
Pr 2.616 2.616 1.761
Pa 0.000 0.000 0.000
P 0.000 2.616 0.000
P 2.616 0.000 0.000
Se 0.000 0.000 2.786
Se 2.616 2.616 4.652

Entry 11:
6
Lattice="3.965 1.349 -0.869 2.791 4.598 -1.173 -1.795 -2.181 9.460" Properties=species:S:1:pos:R:3 comment="ErMoCl (GGA-PBE, relaxed)" raw_formation_energy_mev_per_atom=-631 pbc="T T T"
Mo 2.443 1.444 1.838
Mo 4.065 2.464 0.298
Er 3.986 4.221 2.665
Er 3.518 2.105 7.759
Cl 2.880 1.870 4.488
Cl 1.833 -0.143 7.109

Entry 12:
4
Lattice="-2.857 3.639 -3.400 -1.387 2.158 -5.136 -4.483 -2.855 -1.361" Properties=species:S:1:pos:R:3 comment="KTcAg2 (GGA-PBE, relaxed)" ef_kj_per_mol_atoms=71.6 e_above_lowest_polymorph_mev_per_atom=121 pbc="T T T"
Ag -0.330 -0.085 -0.206
Ag -6.267 2.204 -7.186
K -4.587 1.211 -4.916
Tc -1.906 1.083 -2.538

- Number 5 is which compound?
  Tb5Co2Pd